VASP calculation (PBE) on a geometry-optimized GeBN2 structure.

formation energy from raw total energies = 0.05 eV per atom
total magnetization = 0.00 μB per cell

abc: 4.3801 4.3801 7.5786
angles: 90.00 90.00 90.00
Closest atoms and distances in Å follow each position.
Space group I-42d (No. 122)
Unique sites:
Ge 0.0000 0.0000 0.0000 (multiplicity 4)  4 N 2.10
B 0.0000 0.0000 0.5000 (multiplicity 4)  4 N 1.60
N 0.1536 0.2500 0.6250 (multiplicity 8)  2 B 1.60



VASP calculation (PBE) on a geometry-optimized GaHgTe2O8 structure.

formation energy from raw total energies = -0.72 eV per atom
total magnetization = 0.00 μB per cell

abc: 11.7724 5.5211 4.9745
angles: 90.00 114.63 90.00
Closest atoms and distances in Å follow each position.
Space group C2/m (No. 12)
Unique sites:
Ga 0.0000 0.0000 0.0000 (multiplicity 2)  2 O 1.88
Hg 0.0000 0.5000 0.5000 (multiplicity 2)  2 O 2.15
Te 0.2377 0.0000 0.7043 (multiplicity 4)  4 O 1.91-2.12
O 0.0856 0.0000 0.7552 (multiplicity 4)  1 Ga 1.88, 1 Te 1.91
O 0.1378 0.2357 0.3246 (multiplicity 8)  2 Te 2.12-2.19, 1 Ga 2.18
O 0.1785 0.5000 0.8743 (multiplicity 4)  1 Te 1.91



VASP calculation (PBE) on a geometry-optimized Os2RhCl structure.

formation energy from raw total energies = 1.00 eV per atom
total magnetization = 0.00 μB per cell

abc: 2.7867 3.6374 6.3995
angles: 90.00 90.00 90.00
Closest atoms and distances in Å follow each position.
Space group Pmmm (No. 47)
Unique sites:
Os 0.0000 0.0000 0.2023 (multiplicity 2)  3 Os 2.59-2.79, 4 Rh 2.63
Rh 0.5000 0.5000 0.0000 (multiplicity 1)  8 Os 2.63, 2 Rh 2.79
Cl 0.5000 0.5000 0.5000 (multiplicity 1)  2 Cl 2.79, 8 Os 2.98